## 1
Entry from Alexandria: a geometry-optimized Na2SbCl5 structure (PBE).

```
data_Na2SbCl5
_chemical_formula_sum 'Na4 Sb2 Cl10'
_space_group_name_H-M_alt 'P 1'
_space_group_IT_number 1
_space_group_name_Hall 'P 1'
_cell_length_a 10.900
_cell_length_b 7.783
_cell_length_c 7.349
_cell_angle_alpha 90.00
_cell_angle_beta 104.33
_cell_angle_gamma 90.00
loop_
_atom_site_label
_atom_site_fract_x
_atom_site_fract_y
_atom_site_fract_z
Na1 0.000 0.000 0.000
Na2 0.089 0.500 0.544
Na3 0.500 0.500 0.000
Na4 0.589 0.000 0.544
Sb1 0.007 0.500 0.992
Sb2 0.507 0.000 0.992
Cl1 0.082 0.264 0.254
Cl2 0.082 0.736 0.254
Cl3 0.221 0.500 0.940
Cl4 0.460 0.239 0.731
Cl5 0.460 0.761 0.731
Cl6 0.582 0.236 0.254
Cl7 0.582 0.764 0.254
Cl8 0.721 0.000 0.940
Cl9 0.960 0.261 0.731
Cl10 0.960 0.739 0.731
```

Symmetry: Cm, No. 8
Spin magnetization in μB per cell: 0.0


## 2
Entry from Alexandria: a geometry-optimized Na2SbCl5 structure (PBE).

```
data_Na2SbCl5
_chemical_formula_sum 'Na2 Sb1 Cl5'
_space_group_name_H-M_alt 'P 1'
_space_group_IT_number 1
_space_group_name_Hall 'P 1'
_cell_length_a 5.616
_cell_length_b 7.210
_cell_length_c 7.317
_cell_angle_alpha 90.00
_cell_angle_beta 112.51
_cell_angle_gamma 112.89
loop_
_atom_site_label
_atom_site_fract_x
_atom_site_fract_y
_atom_site_fract_z
Na1 0.000 0.000 0.000
Na2 0.158 0.776 0.537
Sb1 0.577 0.388 0.768
Cl1 0.018 0.387 0.768
Cl2 0.288 0.154 0.412
Cl3 0.489 0.046 0.925
Cl4 0.674 0.730 0.611
Cl5 0.878 0.622 0.124
```

Symmetry: P1, No. 1
Spin magnetization in μB per cell: 0.0


Energies relative to the minimum, kJ/mol of atoms: 1 3.1; 2 0.0


## 1
Entry from Alexandria: a geometry-optimized NaSbCl6 structure (PBE).

```
data_NaSbCl6
_chemical_formula_sum 'Na2 Sb2 Cl12'
_space_group_name_H-M_alt 'P 1'
_space_group_IT_number 1
_space_group_name_Hall 'P 1'
_cell_length_a 7.008
_cell_length_b 12.012
_cell_length_c 6.701
_cell_angle_alpha 90.00
_cell_angle_beta 110.24
_cell_angle_gamma 90.00
loop_
_atom_site_label
_atom_site_fract_x
_atom_site_fract_y
_atom_site_fract_z
Na1 0.000 0.000 0.000
Na2 0.500 0.500 0.000
Sb1 0.000 0.500 0.500
Sb2 0.500 0.000 0.500
Cl1 0.207 0.357 0.730
Cl2 0.207 0.643 0.730
Cl3 0.223 0.500 0.298
Cl4 0.277 0.000 0.702
Cl5 0.293 0.143 0.270
Cl6 0.293 0.857 0.270
Cl7 0.707 0.143 0.730
Cl8 0.707 0.857 0.730
Cl9 0.723 0.000 0.298
Cl10 0.777 0.500 0.702
Cl11 0.793 0.357 0.270
Cl12 0.793 0.643 0.270
```

Symmetry: C2/m, No. 12
Spin magnetization in μB per cell: 0.0


## 2
Entry from Alexandria: a geometry-optimized NaSbCl6 structure (PBE).

```
data_NaSbCl6
_chemical_formula_sum 'Na2 Sb2 Cl12'
_space_group_name_H-M_alt 'P 1'
_space_group_IT_number 1
_space_group_name_Hall 'P 1'
_cell_length_a 6.684
_cell_length_b 6.684
_cell_length_c 10.800
_cell_angle_alpha 90.00
_cell_angle_beta 90.00
_cell_angle_gamma 90.00
loop_
_atom_site_label
_atom_site_fract_x
_atom_site_fract_y
_atom_site_fract_z
Na1 0.000 0.000 0.250
Na2 0.000 0.000 0.750
Sb1 0.000 0.500 0.000
Sb2 0.500 0.000 0.500
Cl1 0.205 0.209 0.500
Cl2 0.208 0.351 0.158
Cl3 0.208 0.351 0.842
Cl4 0.209 0.795 0.000
Cl5 0.351 0.792 0.342
Cl6 0.351 0.792 0.658
Cl7 0.649 0.208 0.342
Cl8 0.649 0.208 0.658
Cl9 0.791 0.205 0.000
Cl10 0.792 0.649 0.158
Cl11 0.792 0.649 0.842
Cl12 0.795 0.791 0.500
```

Symmetry: P4_2/m, No. 84
Spin magnetization in μB per cell: 0.0


Energies relative to the minimum, kJ/mol of atoms: 1 2.3; 2 0.0


## 1
Entry from Alexandria: a geometry-optimized Na3SbCl structure (PBE).

```
data_Na3SbCl
_chemical_formula_sum 'Na3 Sb1 Cl1'
_space_group_name_H-M_alt 'P 1'
_space_group_IT_number 1
_space_group_name_Hall 'P 1'
_cell_length_a 5.896
_cell_length_b 5.896
_cell_length_c 5.896
_cell_angle_alpha 90.00
_cell_angle_beta 90.00
_cell_angle_gamma 90.00
loop_
_atom_site_label
_atom_site_fract_x
_atom_site_fract_y
_atom_site_fract_z
Na1 0.000 0.000 0.500
Na2 0.000 0.500 0.000
Na3 0.500 0.000 0.000
Sb1 0.000 0.000 0.000
Cl1 0.500 0.500 0.500
```

Symmetry: Pm-3m, No. 221
Spin magnetization in μB per cell: 1.0


## 2
Entry from Alexandria: a geometry-optimized Na3SbCl structure (PBE).

```
data_Na3SbCl
_chemical_formula_sum 'Na3 Sb1 Cl1'
_space_group_name_H-M_alt 'P 1'
_space_group_IT_number 1
_space_group_name_Hall 'P 1'
_cell_length_a 5.245
_cell_length_b 5.245
_cell_length_c 5.245
_cell_angle_alpha 90.00
_cell_angle_beta 90.00
_cell_angle_gamma 90.00
loop_
_atom_site_label
_atom_site_fract_x
_atom_site_fract_y
_atom_site_fract_z
Na1 0.000 0.000 0.500
Na2 0.000 0.500 0.000
Na3 0.500 0.000 0.000
Sb1 0.500 0.500 0.500
Cl1 0.000 0.000 0.000
```

Symmetry: Pm-3m, No. 221
Spin magnetization in μB per cell: 1.0


Energies relative to the minimum, kJ/mol of atoms: 1 28.8; 2 0.0